(i)
Entry from the Alexandria database: a relaxed BaNaVS4 crystal (PBE).

abc: 9.690 6.523 12.180
angles: 70.53 90.00 90.00
Fractional positions:
Ba 0.883 0.377 0.344
Ba 0.617 0.377 0.844
Ba 0.117 0.623 0.656
Ba 0.383 0.623 0.156
Na 0.136 0.219 0.016
Na 0.364 0.219 0.516
Na 0.864 0.781 0.984
Na 0.636 0.781 0.484
V 0.615 0.120 0.187
V 0.885 0.120 0.687
V 0.385 0.880 0.813
V 0.115 0.880 0.313
S 0.786 0.317 0.094
S 0.714 0.317 0.594
S 0.214 0.683 0.906
S 0.286 0.683 0.406
S 0.936 0.820 0.423
S 0.564 0.820 0.923
S 0.064 0.180 0.577
S 0.436 0.180 0.077
S 0.567 0.213 0.338
S 0.933 0.213 0.838
S 0.433 0.787 0.662
S 0.067 0.787 0.162
S 0.165 0.220 0.263
S 0.335 0.220 0.763
S 0.835 0.780 0.737
S 0.665 0.780 0.237

Computed properties:
- ρ: 3.1 Mg/m³
- Total magnetization: 0.0 μB per cell
- Space-group type: P2_1/c

=====

(ii)
Entry from the Alexandria database: a relaxed BaNaVS4 crystal (PBE).

abc: 6.668 6.762 8.619
angles: 90.00 108.83 90.00
Fractional positions:
Ba 0.718 0.750 0.925
Ba 0.282 0.250 0.075
Na 0.778 0.750 0.454
Na 0.222 0.250 0.546
V 0.216 0.750 0.306
V 0.784 0.250 0.694
S 0.996 0.501 0.752
S 0.004 0.001 0.248
S 0.004 0.499 0.248
S 0.996 0.999 0.752
S 0.414 0.750 0.147
S 0.586 0.250 0.853
S 0.392 0.750 0.559
S 0.608 0.250 0.441

Computed properties:
- ρ: 3.1 Mg/m³
- Total magnetization: 0.0 μB per cell
- Space-group type: P2_1/m

=====

Energies relative to the most stable structure are (i) 0.0; (ii) 1.6, reported in kJ/mol of atoms.